Compound: ScGeTe3
Source: the Alexandria database
Functional: PBE
Structure: relaxed

The structure in extended XYZ format:
```
10
Lattice="-2.565 2.484 -1.719 2.489 -2.036 -6.657 -9.974 -5.470 6.977" Properties=species:S:1:pos:R:3 pbc="T T T"
Sc -2.016 -0.468 0.048
Sc -8.034 -4.554 -1.446
Ge -7.618 -4.429 2.682
Ge -2.432 -0.593 -4.081
Te -0.074 0.066 -2.077
Te -9.975 -5.089 0.679
Te -1.563 -3.165 -4.527
Te -8.487 -1.857 3.128
Te -5.932 -4.182 0.523
Te -4.118 -0.840 -1.922
```

Output
**E_tot**: -0.3431 Ry per atom
**SG**: No. 11
**ρ**: 5.4 g cm⁻³
**Distance to the lowest polymorph of the same formula**: 0 meV/atom
**Formation energy (no corrections)**: -0.594 eV/atom
**Total magnetic moment**: 0.00 μB/f.u.

Compound: Ac2Mg2Rh3
Source: the Alexandria database
Functional: PBE
Structure: relaxed

The structure in extended XYZ format:
```
7
Lattice="3.915 0.000 0.000 -1.958 6.471 0.110 0.000 -3.327 6.420" Properties=species:S:1:pos:R:3 pbc="T T T"
Ac 1.958 4.445 1.437
Ac 0.000 -1.302 5.093
Mg 1.958 1.865 4.498
Mg 0.000 1.279 2.033
Rh 1.958 0.000 0.000
Rh 1.958 -0.315 2.893
Rh 0.000 3.459 3.638
```

Output
**E_tot**: -0.3855 Ry per atom
**SG**: No. 12
**Calculated formation energy**: -0.46 eV per atom
**ρ**: 8.2 g cm⁻³
**Total magnetic moment**: 0.00 μB/f.u.

Compound: CaAl5Pd
Source: the Alexandria database
Functional: PBE
Structure: relaxed

The structure in extended XYZ format:
```
7
Lattice="4.353 0.000 0.000 0.000 4.353 0.000 0.000 0.000 6.876" Properties=species:S:1:pos:R:3 pbc="T T T"
Ca 0.000 0.000 0.000
Al 2.177 0.000 4.830
Al 0.000 2.177 4.830
Al 2.177 2.177 0.000
Al 0.000 2.177 2.046
Al 2.177 0.000 2.046
Pd 0.000 0.000 3.438
```

Output
**E_tot**: -0.2999 Ry per atom
**SG**: No. 123
**Calculated formation energy**: -0.38 eV per atom
**ρ**: 3.6 g cm⁻³
**Total magnetic moment**: 0.00 μB/f.u.

Compound: LiZnCr2
Source: the Alexandria database
Functional: PBE
Structure: relaxed

The structure in extended XYZ format:
```
4
Lattice="-3.221 3.223 -1.741 -4.364 -1.946 -0.983 3.224 0.731 3.587" Properties=species:S:1:pos:R:3 pbc="T T T"
Cr -7.470 1.257 -2.683
Cr -1.990 2.312 0.208
Li -3.776 0.636 -1.356
Zn -2.502 -0.282 0.609
```

Output
**E_tot**: -0.3902 Ry per atom
**SG**: No. 44
**Calculated formation energy**: 0.30 eV per atom
**ρ**: 5.3 g cm⁻³
**Distance to the lowest polymorph of the same formula**: 126 meV/atom
**Total magnetic moment**: 0.25 μB/f.u.

Compound: ScAu2Cl
Source: the Alexandria database
Functional: PBE
Structure: relaxed

The structure in extended XYZ format:
```
4
Lattice="5.747 -0.019 0.004 2.265 5.282 -0.004 -3.235 -3.806 2.842" Properties=species:S:1:pos:R:3 pbc="T T T"
Au 0.265 0.174 0.000
Au 3.374 -0.522 1.423
Cl 3.583 2.354 0.000
Sc 1.562 2.082 1.419
```

Output
**E_tot**: -0.3144 Ry per atom
**SG**: No. 44
**ρ**: 9.1 g cm⁻³
**Distance to the lowest polymorph of the same formula**: 237 meV/atom
**Formation energy (no corrections)**: -0.595 eV/atom
**Total magnetic moment**: 0.00 μB/f.u.

Compound: Ca2La6Th
Source: the Alexandria database
Functional: PBE
Structure: relaxed

The structure in extended XYZ format:
```
9
Lattice="3.639 0.000 0.000 0.000 8.987 -5.188 0.000 0.000 10.377" Properties=species:S:1:pos:R:3 pbc="T T T"
Ca 0.000 2.996 5.188
Ca 0.000 5.991 0.000
La 0.000 6.328 -3.654
La 0.000 0.000 7.307
La 0.000 2.658 1.535
La 1.820 5.881 3.395
La 1.820 0.000 3.586
La 1.820 3.105 -1.793
Th 1.820 0.000 0.000
```

Output
**E_tot**: -0.3295 Ry per atom
**SG**: No. 189
**Calculated formation energy**: 0.07 eV per atom
**ρ**: 5.6 g cm⁻³
**Total magnetic moment**: 0.00 μB/f.u.

Compound: KSr2P
Source: the Alexandria database
Functional: PBE
Structure: relaxed

The structure in extended XYZ format:
```
8
Lattice="-6.673 8.070 -1.275 -3.576 -1.405 9.825 -2.760 5.473 5.442" Properties=species:S:1:pos:R:3 pbc="T T T"
Sr -4.360 5.090 1.973
Sr -4.707 2.645 7.160
Sr -6.421 6.405 8.683
Sr -10.530 10.136 10.167
K 0.000 0.000 0.000
K -7.279 8.438 4.221
P -5.125 3.333 4.275
P -5.730 3.700 9.771
```

Output
**E_tot**: -0.2072 Ry per atom
**SG**: No. 122
**Calculated formation energy**: -0.35 eV per atom
**ρ**: 2.2 g cm⁻³
**Total magnetic moment**: 0.00 μB/f.u.

Compound: CuNiSe2
Source: the Alexandria database
Functional: PBE
Structure: relaxed

The structure in extended XYZ format:
```
4
Lattice="3.218 -1.858 0.000 0.000 3.715 0.000 0.000 0.000 6.402" Properties=species:S:1:pos:R:3 pbc="T T T"
Ni 1.073 1.858 1.426
Cu 0.000 0.000 0.082
Se 1.073 1.858 5.428
Se 2.145 0.000 2.380
```

Output
**E_tot**: -0.3201 Ry per atom
**SG**: No. 156
**ρ**: 6.1 g cm⁻³
**Formation energy (no corrections)**: -0.144 eV/atom
**Total magnetic moment**: 0.00 μB/f.u.